one | Compound: MnNbI2N
Source: Alexandria
Functional: PBE
Structure: relaxed

V	21.0	A^3/atom
N(E_F)	0.885	states/eV per atom

Cell: 5.4570 5.4570 3.5262 Å, 90.00 90.00 90.00°
Sites, in units of the cell vectors:
Mn 0.0000 0.0000 0.0000
Nb 0.5000 0.5000 0.5000
I 0.0000 0.5000 0.0000
I 0.5000 0.0000 0.0000
N 0.0000 0.0000 0.5000

=====

two | Compound: MnNbI2N
Source: Alexandria
Functional: PBE
Structure: relaxed

V	26.0	A^3/atom
N(E_F)	0.599	states/eV per atom

Cell: 5.7457 5.7457 3.9354 Å, 90.00 90.00 90.00°
Sites, in units of the cell vectors:
Mn 0.0000 0.0000 0.0000
Nb 0.5000 0.5000 0.5000
I 0.0000 0.5000 0.5000
I 0.5000 0.0000 0.5000
N 0.5000 0.5000 0.0000

=====

Of the structures shown above, one is the least stable.